1.
A geometry-optimized PmZn2Bi structure. Source: Alexandria via LeMat-Bulk, functional GGA-PBE.

abc: 4.531 4.531 4.619
angles: 90.00 90.00 90.00
Fractional coordinates of all 4 atoms:
Pm: 0.000 0.000 0.000
Zn: 0.000 0.500 0.500
Zn: 0.500 0.000 0.500
Bi: 0.500 0.500 0.000

Output
D(E_F)   0.51 states/eV/atom
E_form   -0.34 eV per atom


2.
A geometry-optimized Pm4ZnBi2 structure. Source: Alexandria via LeMat-Bulk, functional GGA-PBE.

abc: 5.330 5.330 16.755
angles: 90.00 90.00 90.00
Fractional coordinates of all 14 atoms:
Pm: 0.000 0.000 0.173
Pm: 0.000 0.000 0.827
Pm: 0.000 0.500 0.000
Pm: 0.000 0.500 0.500
Pm: 0.500 0.000 0.000
Pm: 0.500 0.000 0.500
Pm: 0.500 0.500 0.327
Pm: 0.500 0.500 0.673
Zn: 0.000 0.000 0.000
Zn: 0.500 0.500 0.500
Bi: 0.000 0.000 0.365
Bi: 0.000 0.000 0.635
Bi: 0.500 0.500 0.135
Bi: 0.500 0.500 0.865

Output
D(E_F)   0.69 states/eV/atom
E_form   -0.37 eV per atom


3.
A geometry-optimized PmZn4Bi structure. Source: Alexandria via LeMat-Bulk, functional GGA-PBE.

abc: 5.606 5.606 5.606
angles: 60.00 60.00 60.00
Fractional coordinates of all 6 atoms:
Pm: 0.000 0.000 0.000
Zn: 0.375 0.375 0.375
Zn: 0.375 0.375 0.876
Zn: 0.375 0.876 0.375
Zn: 0.876 0.375 0.375
Bi: 0.750 0.750 0.750

Output
D(E_F)   0.48 states/eV/atom
E_form   -0.13 eV per atom


4.
A geometry-optimized Pm3ZnBi2 structure. Source: Alexandria via LeMat-Bulk, functional GGA-PBE.

abc: 4.572 6.372 13.249
angles: 90.00 90.00 90.00
Fractional coordinates of all 12 atoms:
Pm: 0.000 0.000 0.000
Pm: 0.000 0.000 0.335
Pm: 0.000 0.000 0.665
Pm: 0.500 0.500 0.165
Pm: 0.500 0.500 0.500
Pm: 0.500 0.500 0.835
Zn: 0.000 0.500 0.000
Zn: 0.500 0.000 0.500
Bi: 0.000 0.500 0.331
Bi: 0.000 0.500 0.669
Bi: 0.500 0.000 0.169
Bi: 0.500 0.000 0.831

Output
D(E_F)   1.25 states/eV/atom
E_form   -0.58 eV per atom


5.
A geometry-optimized Pm4ZnBi structure. Source: Alexandria via LeMat-Bulk, functional GGA-PBE.

abc: 8.333 8.333 6.154
angles: 101.34 101.34 115.20
Fractional coordinates of all 12 atoms:
Pm: 0.079 0.711 0.939
Pm: 0.211 0.387 0.643
Pm: 0.289 0.921 0.561
Pm: 0.387 0.211 0.143
Pm: 0.613 0.789 0.857
Pm: 0.711 0.079 0.439
Pm: 0.789 0.613 0.357
Pm: 0.921 0.289 0.061
Zn: 0.000 0.000 0.250
Zn: 0.000 0.000 0.750
Bi: 0.384 0.616 0.250
Bi: 0.616 0.384 0.750

Output
D(E_F)   1.18 states/eV/atom
E_form   -0.35 eV per atom


6.
A geometry-optimized PmZnBi2 structure. Source: Alexandria via LeMat-Bulk, functional GGA-PBE.

abc: 4.759 4.759 9.645
angles: 90.00 90.00 90.00
Fractional coordinates of all 8 atoms:
Pm: 0.250 0.250 0.243
Pm: 0.750 0.750 0.757
Zn: 0.250 0.750 0.000
Zn: 0.750 0.250 0.000
Bi: 0.250 0.250 0.817
Bi: 0.250 0.750 0.500
Bi: 0.750 0.250 0.500
Bi: 0.750 0.750 0.183

Output
Distance to the lowest polymorph of the same formula   0.0000 eV/atom
D(E_F)   0.34 states/eV/atom
E_form   -0.41 eV per atom


7.
A geometry-optimized Pm2ZnBi structure. Source: Alexandria via LeMat-Bulk, functional GGA-PBE.

abc: 4.013 4.013 6.873
angles: 90.00 90.00 90.00
Fractional coordinates of all 4 atoms:
Pm: 0.000 0.000 0.243
Pm: 0.000 0.000 0.757
Zn: 0.500 0.500 0.000
Bi: 0.500 0.500 0.500

Output
Distance to the lowest polymorph of the same formula   0.0000 eV/atom
D(E_F)   0.73 states/eV/atom
E_form   -0.52 eV per atom


8.
A geometry-optimized PmZnBi2 structure. Source: Alexandria via LeMat-Bulk, functional GGA-PBE.

abc: 4.879 4.879 4.605
angles: 90.00 90.00 90.00
Fractional coordinates of all 4 atoms:
Pm: 0.000 0.000 0.000
Zn: 0.500 0.500 0.000
Bi: 0.000 0.500 0.500
Bi: 0.500 0.000 0.500

Output
Distance to the lowest polymorph of the same formula   0.0403 eV/atom
D(E_F)   0.59 states/eV/atom
E_form   -0.37 eV per atom